Sr2LiCo | PBE | relaxed

```
data_Sr2LiCo
_space_group_name_H-M_alt 'R 3 m'
_space_group_IT_number 160
_space_group_name_Hall 'R 3 -2"'
_cell_length_a 4.3632
_cell_length_b 4.3632
_cell_length_c 23.0606
_cell_angle_alpha 90.00
_cell_angle_beta 90.00
_cell_angle_gamma 120.00
loop_
_atom_site_label
_atom_site_fract_x
_atom_site_fract_y
_atom_site_fract_z
Sr1 0.0000 0.0000 0.0000
Sr2 0.0000 0.0000 0.1741
Li1 0.0000 0.0000 0.4204
Co1 0.0000 0.0000 0.7540
```

SrLi3Co | PBE | relaxed

```
data_SrLi3Co
_space_group_name_H-M_alt 'P m -3 m'
_space_group_IT_number 221
_space_group_name_Hall '-P 4 2 3'
_cell_length_a 5.3421
_cell_length_b 5.3421
_cell_length_c 5.3421
_cell_angle_alpha 90.00
_cell_angle_beta 90.00
_cell_angle_gamma 90.00
loop_
_atom_site_label
_atom_site_fract_x
_atom_site_fract_y
_atom_site_fract_z
Sr1 0.0000 0.0000 0.0000
Li1 0.0000 0.0000 0.5000
Co1 0.5000 0.5000 0.5000
```

SrLiCo | PBE | relaxed

```
data_SrLiCo
_space_group_name_H-M_alt 'F -4 3 m'
_space_group_IT_number 216
_space_group_name_Hall 'F -4 2 3'
_cell_length_a 6.8358
_cell_length_b 6.8358
_cell_length_c 6.8358
_cell_angle_alpha 90.00
_cell_angle_beta 90.00
_cell_angle_gamma 90.00
loop_
_atom_site_label
_atom_site_fract_x
_atom_site_fract_y
_atom_site_fract_z
Sr1 0.0000 0.0000 0.0000
Li1 0.0000 0.0000 0.5000
Co1 0.2500 0.2500 0.7500
```

SrLi4Co | PBE | relaxed

```
data_SrLi4Co
_space_group_name_H-M_alt 'F -4 3 m'
_space_group_IT_number 216
_space_group_name_Hall 'F -4 2 3'
_cell_length_a 7.8956
_cell_length_b 7.8956
_cell_length_c 7.8956
_cell_angle_alpha 90.00
_cell_angle_beta 90.00
_cell_angle_gamma 90.00
loop_
_atom_site_label
_atom_site_fract_x
_atom_site_fract_y
_atom_site_fract_z
Sr1 0.0000 0.0000 0.0000
Li1 0.1212 0.1212 0.3788
Co1 0.2500 0.2500 0.7500
```

Sr2LiCo | PBE | relaxed

```
data_Sr2LiCo
_space_group_name_H-M_alt 'I -4 m 2'
_space_group_IT_number 119
_space_group_name_Hall 'I -4 -2'
_cell_length_a 4.6429
_cell_length_b 4.6429
_cell_length_c 10.9957
_cell_angle_alpha 90.00
_cell_angle_beta 90.00
_cell_angle_gamma 90.00
loop_
_atom_site_label
_atom_site_fract_x
_atom_site_fract_y
_atom_site_fract_z
Sr1 0.0000 0.0000 0.0000
Sr2 0.0000 0.5000 0.2500
Li1 0.0000 0.0000 0.5000
Co1 0.0000 0.5000 0.7500
```

Sr2LiCo | PBE | relaxed

```
data_Sr2LiCo
_space_group_name_H-M_alt 'P 1 m 1'
_space_group_IT_number 6
_space_group_name_Hall 'P -2y'
_cell_length_a 4.4876
_cell_length_b 4.5026
_cell_length_c 6.3242
_cell_angle_alpha 90.00
_cell_angle_beta 110.71
_cell_angle_gamma 90.00
loop_
_atom_site_label
_atom_site_fract_x
_atom_site_fract_y
_atom_site_fract_z
Sr1 0.0000 0.0000 0.0000
Sr2 0.2827 0.5000 0.5663
Li1 0.6907 0.0000 0.3826
Co1 0.5813 0.5000 0.1627
```

SrLiCo | PBE | relaxed

```
data_SrLiCo
_space_group_name_H-M_alt 'F -4 3 m'
_space_group_IT_number 216
_space_group_name_Hall 'F -4 2 3'
_cell_length_a 7.0070
_cell_length_b 7.0070
_cell_length_c 7.0070
_cell_angle_alpha 90.00
_cell_angle_beta 90.00
_cell_angle_gamma 90.00
loop_
_atom_site_label
_atom_site_fract_x
_atom_site_fract_y
_atom_site_fract_z
Sr1 0.0000 0.0000 0.0000
Li1 0.2500 0.2500 0.2500
Co1 0.2500 0.2500 0.7500
```

SrLi3Co | PBE | relaxed

```
data_SrLi3Co
_space_group_name_H-M_alt 'P m -3 m'
_space_group_IT_number 221
_space_group_name_Hall '-P 4 2 3'
_cell_length_a 4.8855
_cell_length_b 4.8855
_cell_length_c 4.8855
_cell_angle_alpha 90.00
_cell_angle_beta 90.00
_cell_angle_gamma 90.00
loop_
_atom_site_label
_atom_site_fract_x
_atom_site_fract_y
_atom_site_fract_z
Sr1 0.0000 0.0000 0.0000
Li1 0.0000 0.5000 0.5000
Co1 0.5000 0.5000 0.5000
```

Sr3LiCo | PBE | relaxed

```
data_Sr3LiCo
_space_group_name_H-M_alt 'P m -3 m'
_space_group_IT_number 221
_space_group_name_Hall '-P 4 2 3'
_cell_length_a 5.7911
_cell_length_b 5.7911
_cell_length_c 5.7911
_cell_angle_alpha 90.00
_cell_angle_beta 90.00
_cell_angle_gamma 90.00
loop_
_atom_site_label
_atom_site_fract_x
_atom_site_fract_y
_atom_site_fract_z
Sr1 0.0000 0.0000 0.5000
Li1 0.5000 0.5000 0.5000
Co1 0.0000 0.0000 0.0000
```

Sr2LiCo | PBE | relaxed

```
data_Sr2LiCo
_space_group_name_H-M_alt 'F -4 3 m'
_space_group_IT_number 216
_space_group_name_Hall 'F -4 2 3'
_cell_length_a 7.6034
_cell_length_b 7.6034
_cell_length_c 7.6034
_cell_angle_alpha 90.00
_cell_angle_beta 90.00
_cell_angle_gamma 90.00
loop_
_atom_site_label
_atom_site_fract_x
_atom_site_fract_y
_atom_site_fract_z
Sr1 0.0000 0.0000 0.0000
Sr2 0.2500 0.2500 0.2500
Li1 0.0000 0.0000 0.5000
Co1 0.2500 0.2500 0.7500
```

SrLiCo | PBE | relaxed

```
data_SrLiCo
_space_group_name_H-M_alt 'F -4 3 m'
_space_group_IT_number 216
_space_group_name_Hall 'F -4 2 3'
_cell_length_a 6.6468
_cell_length_b 6.6468
_cell_length_c 6.6468
_cell_angle_alpha 90.00
_cell_angle_beta 90.00
_cell_angle_gamma 90.00
loop_
_atom_site_label
_atom_site_fract_x
_atom_site_fract_y
_atom_site_fract_z
Sr1 0.0000 0.0000 0.0000
Li1 0.2500 0.2500 0.2500
Co1 0.0000 0.0000 0.5000
```

SrLiCo | PBE | relaxed

```
data_SrLiCo
_space_group_name_H-M_alt 'P -6 m 2'
_space_group_IT_number 187
_space_group_name_Hall 'P -6 2'
_cell_length_a 4.4188
_cell_length_b 4.4188
_cell_length_c 4.2442
_cell_angle_alpha 90.00
_cell_angle_beta 90.00
_cell_angle_gamma 120.00
loop_
_atom_site_label
_atom_site_fract_x
_atom_site_fract_y
_atom_site_fract_z
Sr1 0.0000 0.0000 0.0000
Li1 0.3333 0.6667 0.5000
Co1 0.6667 0.3333 0.5000
```

| no. | uncorrected energy (eV/atom) | theoretical density (g cm⁻³) | ΔE_f (meV/atom) |
| --- | --- | --- | --- |
| 1 | -2.805 | 3.159 | 291 |
| 2 | -1.455 | 1.823 | 1451 |
| 3 | -2.907 | 3.192 | 660 |
| 4 | -2.402 | 2.352 | 338 |
| 5 | -2.597 | 3.378 | 499 |
| 6 | -2.787 | 3.350 | 308 |
| 7 | -2.535 | 2.964 | 1033 |
| 8 | -2.528 | 2.383 | 378 |
| 9 | -2.569 | 2.811 | 244 |
| 10 | -2.493 | 3.643 | 603 |
| 11 | -2.833 | 3.472 | 734 |
| 12 | -3.085 | 3.551 | 482 |